A relaxed structure of Cs3CaCr2F9. Source: Alexandria via LeMat-Bulk, functional PBE+U.

a b c (Å): 6.2591 6.2591 7.6715
angles (deg): 90.00 90.00 120.00
Space group P-3m1 (No. 164)
Asymmetric unit:
Cs: 0.0000 0.0000 0.0000 (multiplicity 1)
Cs: 0.3333 0.6667 0.6679 (multiplicity 2)
Ca: 0.0000 0.0000 0.5000 (multiplicity 1)
Cr: 0.3333 0.6667 0.1584 (multiplicity 2)
F: 0.0000 0.5000 0.0000 (multiplicity 3)
F: 0.1718 0.3437 0.3248 (multiplicity 6)

Uncorrected energy (eV per atom): -5.296
Total moment (μB/f.u.): 8.000